[1]
Density functional theory data (PBE) for an optimized crystal structure of TiTlBr2.

Summary:
Offset from the most stable computed form = 0.380 eV per atom
E_form (uncorrected) = -30 kJ/mol of atoms

```
TiTlBr2
1.0
2.082 0.000 10.472
-1.041 1.803 10.472
-1.041 -1.803 10.472
Tl Br Ti
1 2 1
direct
0.500 0.500 0.500
0.924 0.924 0.924
0.076 0.076 0.076
0.000 0.000 0.000
```

---

[2]
Density functional theory data (PBE) for an optimized crystal structure of PaInFeNi.

Summary:
Energy = -6.705 eV/atom

```
PaInFeNi
1.0
-1.012 -3.771 -2.482
2.939 -1.489 -3.247
2.385 -3.909 0.656
Ni Pa Fe In
1 1 1 1
direct
0.250 0.250 0.250
0.000 0.000 0.000
0.750 0.750 0.750
0.500 0.500 0.500
```

---

[3]
Density functional theory data (PBE) for an optimized crystal structure of TaReIr6.

Summary:
Energy = -10.039 eV/atom

```
TaReIr6
1.0
3.899 0.000 0.000
0.000 5.524 -0.035
0.000 0.035 5.524
Ta Re Ir
1 1 6
direct
0.500 0.000 0.000
0.500 0.500 0.500
0.000 0.745 0.255
0.000 0.255 0.745
0.000 0.745 0.745
0.000 0.255 0.255
0.500 0.500 0.000
0.500 0.000 0.500
```